Entry 1:
A geometry-optimized ScNi2Mo structure, computed with GGA-PBE.

- Distance to the lowest polymorph of the same formula: 0.0787 eV per atom
- Total magnetization: 0.0 μB/cell
- Crystal system: monoclinic
- Theoretical density: 7.48 g/cm3
- E_tot: -0.2664 Ha/atom
- ΔH_f (0 K): -0.07 eV/atom

Lattice parameters (Å, degrees): 4.9574 4.9574 4.5794 75.09 75.09 31.92
Fractional positions:
Mo1 0.2714 0.2714 0.1833
Ni1 0.0169 0.0169 0.0456
Ni2 0.7242 0.7242 0.7178
Sc1 0.4875 0.4875 0.5533

***

Entry 2:
A geometry-optimized Ba2Pb7 structure, computed with GGA-PBE.

- Total magnetization: 0.0 μB/cell
- Crystal system: trigonal
- Theoretical density: 8.73 g/cm3
- E_tot: -0.1325 Ha/atom
- ΔH_f (0 K): -0.30 eV/atom

Lattice parameters (Å, degrees): 6.7208 6.7208 17.2280 78.75 78.75 60.00
Fractional positions:
Ba1 0.0541 0.0541 0.8377
Ba2 0.9459 0.9459 0.1623
Ba3 0.1487 0.1487 0.5538
Ba4 0.8513 0.8513 0.4462
Pb1 0.5000 0.5000 0.5000
Pb2 0.2777 0.2777 0.1669
Pb3 0.7223 0.7223 0.8331
Pb4 0.3892 0.3892 0.8323
Pb5 0.6108 0.6108 0.1677
Pb6 0.5000 0.0000 0.0000
Pb7 0.0000 0.5000 0.0000
Pb8 0.5000 0.5000 0.0000
Pb9 0.6125 0.6125 0.6663
Pb10 0.6125 0.1087 0.6663
Pb11 0.1087 0.6125 0.6663
Pb12 0.3875 0.3875 0.3337
Pb13 0.3875 0.8913 0.3337
Pb14 0.8913 0.3875 0.3337

***

Entry 3:
A geometry-optimized Ba4TeSe2I structure, computed with GGA-PBE.

- Total magnetization: 0.0 μB/cell
- Crystal system: orthorhombic
- Theoretical density: 4.96 g/cm3
- E_tot: -0.1558 Ha/atom
- Uncorrected formation energy: -1.82 eV/atom

Lattice parameters (Å, degrees): 9.6942 9.6942 9.7439 120.17 120.17 89.93
Fractional positions:
Ba1 0.2708 0.7498 0.0103
Ba2 0.7502 0.2292 0.4897
Ba3 0.2498 0.7708 0.5103
Ba4 0.7292 0.2502 0.9897
Ba5 0.7446 0.7554 0.0218
Ba6 0.7446 0.7554 0.4782
Ba7 0.2554 0.2446 0.5218
Ba8 0.2554 0.2446 0.9782
Te1 0.0000 0.5000 0.0000
Te2 0.0000 0.5000 0.5000
Se1 0.5000 0.0000 0.0000
Se2 0.5000 0.0000 0.5000
Se3 0.0000 0.0000 0.5000
Se4 0.5000 0.5000 0.0000
I1 0.5000 0.5000 0.5000
I2 0.0000 0.0000 0.0000

***

Entry 4:
A geometry-optimized GaHRu structure, computed with GGA-PBE.

- Distance to the lowest polymorph of the same formula: 0.2125 eV per atom
- Total magnetization: 0.0 μB/cell
- Crystal system: monoclinic
- Theoretical density: 8.01 g/cm3
- E_tot: -0.1898 Ha/atom

Lattice parameters (Å, degrees): 2.9037 9.9039 6.3921 24.48 90.00 98.43
Fractional positions:
Ru1 0.1284 0.2569 0.9595
Ru2 0.8716 0.7431 0.0405
Ga1 0.8510 0.7020 0.5094
Ga2 0.1490 0.2980 0.4906
H1 0.0962 0.1924 0.3284
H2 0.9038 0.8076 0.6716

***

Entry 5:
A geometry-optimized Ac3PdPb structure, computed with GGA-PBE.

- Distance to the lowest polymorph of the same formula: 0.0873 eV per atom
- Total magnetization: 0.0 μB/cell
- Crystal system: monoclinic
- Theoretical density: 8.95 g/cm3
- E_tot: -0.1730 Ha/atom
- ΔH_f (0 K): -0.46 eV/atom

Lattice parameters (Å, degrees): 8.5415 9.3536 9.3536 81.00 90.00 90.00
Fractional positions:
Ac1 0.5937 0.8079 0.9783
Ac2 0.9063 0.0217 0.1921
Ac3 0.4063 0.1921 0.0217
Ac4 0.0937 0.9783 0.8079
Ac5 0.8041 0.4274 0.0724
Ac6 0.6959 0.9276 0.5726
Ac7 0.1959 0.5726 0.9276
Ac8 0.3041 0.0724 0.4274
Ac9 0.5936 0.5222 0.6923
Ac10 0.9064 0.3077 0.4778
Ac11 0.4064 0.4778 0.3077
Ac12 0.0936 0.6923 0.5222
Pd1 0.8767 0.6948 0.8059
Pd2 0.6233 0.1941 0.3052
Pd3 0.1233 0.3052 0.1941
Pd4 0.3767 0.8059 0.6948
Pb1 0.2500 0.8321 0.1679
Pb2 0.7500 0.1679 0.8321
Pb3 0.2500 0.3325 0.6675
Pb4 0.7500 0.6675 0.3325

***

Entry 6:
A geometry-optimized Er3Te2O2 structure, computed with GGA-PBE.

- Total magnetization: 0.0 μB/cell
- Crystal system: triclinic
- Theoretical density: 8.55 g/cm3
- E_tot: -0.2336 Ha/atom
- Uncorrected formation energy: -2.09 eV/atom

Lattice parameters (Å, degrees): 3.6513 5.7941 7.7827 101.03 90.14 108.24
Fractional positions:
Er1 0.0000 0.0000 0.0000
Er2 0.7792 0.5584 0.2051
Er3 0.2208 0.4416 0.7949
Te1 0.8852 0.7741 0.6303
Te2 0.1148 0.2259 0.3697
O1 0.6364 0.2736 0.9533
O2 0.3636 0.7264 0.0467

***

Entry 7:
A geometry-optimized HPtW2 structure, computed with GGA-PBE.

- Distance to the lowest polymorph of the same formula: 0.0000 eV per atom
- Total magnetization: 0.0 μB/cell
- Crystal system: tetragonal
- Theoretical density: 18.10 g/cm3
- E_tot: -0.3151 Ha/atom

Lattice parameters (Å, degrees): 6.1660 6.1660 5.1392 53.14 53.14 90.00
Fractional positions:
H1 0.5000 0.5000 0.0000
H2 0.2500 0.7500 0.5000
W1 0.5322 0.1250 0.2500
W2 0.2178 0.6250 0.2500
W3 0.3750 0.4678 0.7500
W4 0.8750 0.7822 0.7500
Pt1 0.0000 0.0000 0.0000
Pt2 0.7500 0.2500 0.5000

***

Entry 8:
A geometry-optimized LiTb2Pm3Se6 structure, computed with GGA-PBE.

- Total magnetization: 0.0 μB/cell
- Crystal system: monoclinic
- Theoretical density: 6.88 g/cm3
- E_tot: -0.2076 Ha/atom
- Uncorrected formation energy: -1.79 eV/atom

Lattice parameters (Å, degrees): 7.1263 7.1263 7.1854 99.56 99.56 120.14
Fractional positions:
Li1 0.0000 0.0000 0.0000
Tb1 0.3347 0.6653 0.0000
Tb2 0.6653 0.3347 0.0000
Pm1 0.1669 0.8331 0.5000
Pm2 0.8331 0.1669 0.5000
Pm3 0.5000 0.5000 0.5000
Se1 0.9217 0.5967 0.7635
Se2 0.7551 0.7551 0.2350
Se3 0.0783 0.4033 0.2365
Se4 0.5967 0.9217 0.7635
Se5 0.2449 0.2449 0.7650
Se6 0.4033 0.0783 0.2365